# Y4CdPd PBE optimized geometry
data_Y4CdPd
_symmetry_space_group_name_H-M 'P 1'
_symmetry_Int_Tables_number 1
_cell_length_a 9.7291
_cell_length_b 9.7291
_cell_length_c 9.7291
_cell_angle_alpha 60.00
_cell_angle_beta 60.00
_cell_angle_gamma 60.00
loop_
_symmetry_equiv_pos_as_xyz
'x,y,z'
loop_
_atom_site_label
_atom_site_type_symbol
_atom_site_fract_x
_atom_site_fract_y
_atom_site_fract_z
Y1 Y 0.9345 0.9345 0.5655
Y2 Y 0.1898 0.1898 0.8102
Y3 Y 0.8102 0.8102 0.1898
Y4 Y 0.1898 0.8102 0.1898
Y5 Y 0.8102 0.1898 0.8102
Y6 Y 0.3544 0.9369 0.3544
Y7 Y 0.9345 0.5655 0.9345
Y8 Y 0.5655 0.9345 0.5655
Y9 Y 0.3544 0.3544 0.3544
Y10 Y 0.9345 0.5655 0.5655
Y11 Y 0.8102 0.1898 0.1898
Y12 Y 0.1898 0.8102 0.8102
Y13 Y 0.3544 0.3544 0.9369
Y14 Y 0.5655 0.5655 0.9345
Y15 Y 0.9369 0.3544 0.3544
Y16 Y 0.5655 0.9345 0.9345
Cd1 Cd 0.5822 0.2533 0.5822
Cd2 Cd 0.2533 0.5822 0.5822
Cd3 Cd 0.5822 0.5822 0.5822
Cd4 Cd 0.5822 0.5822 0.2533
Pd1 Pd 0.1446 0.1446 0.1446
Pd2 Pd 0.1446 0.5661 0.1446
Pd3 Pd 0.5661 0.1446 0.1446
Pd4 Pd 0.1446 0.1446 0.5661
# space-group type	F-43m, No. 216
# energy relative to the elements	-0.459	eV per atom

# HgPbBr2 PBE optimized geometry
data_HgPbBr2
_symmetry_space_group_name_H-M 'P 1'
_symmetry_Int_Tables_number 1
_cell_length_a 9.0361
_cell_length_b 9.0361
_cell_length_c 7.7279
_cell_angle_alpha 54.22
_cell_angle_beta 54.22
_cell_angle_gamma 90.00
loop_
_symmetry_equiv_pos_as_xyz
'x,y,z'
loop_
_atom_site_label
_atom_site_type_symbol
_atom_site_fract_x
_atom_site_fract_y
_atom_site_fract_z
Br1 Br 0.7039 0.1250 0.2500
Br2 Br 0.0461 0.6250 0.2500
Br3 Br 0.8750 0.9539 0.7500
Br4 Br 0.3750 0.2961 0.7500
Hg1 Hg 0.5000 0.5000 0.0000
Hg2 Hg 0.2500 0.7500 0.5000
Pb1 Pb 0.0000 0.0000 0.0000
Pb2 Pb 0.7500 0.2500 0.5000
# space-group type	I-42d, No. 122
# E_form (uncorrected)	-0.54	eV/atom

Number 1: energy relative to the lowest polymorph listed for this composition 0.0 meV per atom. Number 2: energy relative to the lowest polymorph listed for this composition 111.5 meV per atom.